The following is a GGA-PBE calculation of a relaxed structure of Ca2LaPtRh, from Alexandria.

a b c (Å): 5.154 5.154 5.866
angles (deg): 90.00 90.00 90.00
Element x y z (fractional)
Rh 0.000 0.000 0.061
Pt 0.500 0.500 0.632
Ca 0.000 0.500 0.916
Ca 0.500 0.000 0.916
La 0.000 0.000 0.474

Properties
DFT formation energy: -0.317 eV/atom
Total magnetic moment: 0.0 μB/cell
Mass density: 5.51 g/cm³
Final energy: -4.78 eV per atom


The following is a GGA-PBE calculation of a relaxed structure of CaLaSc2Pt2, from Alexandria.

a b c (Å): 4.867 4.867 6.843
angles (deg): 90.00 90.00 120.00
Element x y z (fractional)
Sc 0.333 0.667 0.680
Sc 0.667 0.333 0.320
Pt 0.333 0.667 0.269
Pt 0.667 0.333 0.731
Ca 0.000 0.000 0.500
La 0.000 0.000 0.000

Properties
DFT formation energy: -0.730 eV/atom
Total magnetic moment: 0.0 μB/cell
Mass density: 7.80 g/cm³
Final energy: -6.01 eV per atom


The following is a GGA-PBE calculation of a relaxed structure of CaLaSi2Pt2, from Alexandria.

a b c (Å): 4.165 4.165 8.733
angles (deg): 90.00 90.00 120.00
Element x y z (fractional)
Si 0.667 0.333 0.748
Si 0.333 0.667 0.252
Pt 0.667 0.333 0.256
Pt 0.333 0.667 0.744
Ca 0.000 0.000 0.500
La 0.000 0.000 0.000

Properties
Total magnetic moment: 0.0 μB/cell
Mass density: 7.91 g/cm³
Final energy: -6.00 eV per atom
Uncorrected formation energy: -1.03 eV per atom


The following is a GGA-PBE calculation of a relaxed structure of CaLaTh2Pt4, from Alexandria.

a b c (Å): 5.920 5.920 7.253
angles (deg): 114.11 114.11 89.94
Element x y z (fractional)
Pt 0.182 0.182 0.501
Pt 0.681 0.681 0.499
Pt 0.948 0.437 0.000
Pt 0.437 0.948 0.000
Ca 0.448 0.448 0.000
Th 0.182 0.682 0.500
Th 0.682 0.182 0.500
La 0.938 0.938 0.000

Properties
DFT formation energy: -1.099 eV/atom
Total magnetic moment: 0.0 μB/cell
Mass density: 11.39 g/cm³
Final energy: -6.84 eV per atom


The following is a GGA-PBE calculation of a relaxed structure of CaLaTlPt, from Alexandria.

a b c (Å): 5.308 5.308 5.308
angles (deg): 60.00 60.00 60.00
Element x y z (fractional)
Tl 0.500 0.500 0.500
La 0.750 0.750 0.750
Ca 0.250 0.250 0.250
Pt 0.000 0.000 0.000

Properties
DFT formation energy: -0.639 eV/atom
Total magnetic moment: 0.0 μB/cell
Mass density: 9.08 g/cm³
Final energy: -4.47 eV per atom


The following is a GGA-PBE calculation of a relaxed structure of CaLa2TlPt, from Alexandria.

a b c (Å): 5.622 5.622 5.610
angles (deg): 90.00 90.00 90.00
Element x y z (fractional)
La 0.500 0.000 0.000
La 0.000 0.500 0.000
Ca 0.000 0.000 0.500
Tl 0.500 0.500 0.500
Pt 0.000 0.000 0.000

Properties
DFT formation energy: -0.506 eV/atom
Total magnetic moment: 0.0 μB/cell
Mass density: 6.72 g/cm³
Final energy: -4.56 eV per atom


The following is a GGA-PBE calculation of a relaxed structure of Ca2LaTlPt, from Alexandria.

a b c (Å): 5.603 5.603 5.532
angles (deg): 90.00 90.00 90.00
Element x y z (fractional)
Pt 0.000 0.000 0.000
Ca 0.000 0.500 0.000
Ca 0.500 0.000 0.000
La 0.000 0.000 0.500
Tl 0.500 0.500 0.500

Properties
DFT formation energy: -0.526 eV/atom
Total magnetic moment: 0.0 μB/cell
Mass density: 5.92 g/cm³
Final energy: -3.99 eV per atom


The following is a GGA-PBE calculation of a relaxed structure of CaLaZn2Pt2, from Alexandria.

a b c (Å): 4.464 4.464 7.548
angles (deg): 90.00 90.00 120.00
Element x y z (fractional)
La 0.000 0.000 0.000
Pt 0.333 0.667 0.751
Pt 0.667 0.333 0.249
Zn 0.667 0.333 0.730
Zn 0.333 0.667 0.270
Ca 0.000 0.000 0.500

Properties
DFT formation energy: -0.821 eV/atom
Total magnetic moment: 0.0 μB/cell
Mass density: 8.92 g/cm³
Final energy: -4.41 eV per atom


The following is a GGA-PBE calculation of a relaxed structure of Ca3La2Zn2Pt4, from Alexandria.

a b c (Å): 4.350 4.350 17.249
angles (deg): 90.00 90.00 120.00
Element x y z (fractional)
Zn 0.667 0.333 0.886
Zn 0.333 0.667 0.114
La 0.667 0.333 0.405
La 0.333 0.667 0.595
Ca 0.000 0.000 0.224
Ca 0.000 0.000 0.776
Ca 0.000 0.000 0.000
Pt 0.667 0.333 0.677
Pt 0.667 0.333 0.111
Pt 0.333 0.667 0.323
Pt 0.333 0.667 0.889

Properties
DFT formation energy: -0.785 eV/atom
Total magnetic moment: 0.0 μB/cell
Mass density: 7.69 g/cm³
Final energy: -4.66 eV per atom


The following is a GGA-PBE calculation of a relaxed structure of CaLaPu, from Alexandria.

a b c (Å): 3.601 3.601 8.391
angles (deg): 102.39 102.39 90.00
Element x y z (fractional)
Pu 0.672 0.672 0.345
La 0.321 0.321 0.643
Ca 0.006 0.006 0.012

Properties
DFT formation energy: 0.198 eV/atom
Total magnetic moment: 6.5 μB/cell
Mass density: 6.78 g/cm³
Final energy: -6.89 eV per atom


The following is a GGA-PBE calculation of a relaxed structure of CaLaPu, from Alexandria.

a b c (Å): 3.588 6.426 8.902
angles (deg): 104.19 101.62 90.00
Element x y z (fractional)
Ca 0.558 0.784 0.117
Ca 0.442 0.216 0.883
Pu 0.231 0.889 0.462
Pu 0.769 0.111 0.538
La 0.842 0.659 0.684
La 0.158 0.341 0.316

Properties
DFT formation energy: 0.257 eV/atom
Total magnetic moment: 0.0 μB/cell
Mass density: 7.22 g/cm³
Final energy: -6.83 eV per atom


The following is a GGA-PBE calculation of a relaxed structure of CaLa2Pu, from Alexandria.

a b c (Å): 3.573 3.573 12.007
angles (deg): 81.44 81.44 60.00
Element x y z (fractional)
Ca 0.500 0.500 0.500
La 0.073 0.073 0.781
La 0.260 0.260 0.219
Pu 0.667 0.667 0.000

Properties
DFT formation energy: 0.659 eV/atom
Total magnetic moment: 0.4 μB/cell
Mass density: 7.13 g/cm³
Final energy: -5.89 eV per atom


The following is a GGA-PBE calculation of a relaxed structure of CaLa2Pu, from Alexandria.

a b c (Å): 3.666 3.666 12.323
angles (deg): 81.44 81.44 60.00
Element x y z (fractional)
La 0.743 0.743 0.772
La 0.257 0.257 0.228
Pu 0.000 0.000 0.000
Ca 0.500 0.500 0.500

Properties
DFT formation energy: 0.131 eV/atom
Total magnetic moment: 5.9 μB/cell
Mass density: 6.60 g/cm³
Final energy: -6.42 eV per atom


The following is a GGA-PBE calculation of a relaxed structure of CaLa2Pu, from Alexandria.

a b c (Å): 3.647 3.647 10.573
angles (deg): 90.00 90.00 90.00
Element x y z (fractional)
Ca 0.500 0.500 0.500
Pu 0.500 0.500 0.000
La 0.000 0.000 0.778
La 0.000 0.000 0.222

Properties
DFT formation energy: 0.121 eV/atom
Total magnetic moment: 5.8 μB/cell
Mass density: 6.64 g/cm³
Final energy: -6.43 eV per atom


The following is a GGA-PBE calculation of a relaxed structure of CaLa2Pu, from Alexandria.

a b c (Å): 3.893 6.002 6.002
angles (deg): 90.00 90.00 90.00
Element x y z (fractional)
La 0.000 0.500 0.000
La 0.000 0.000 0.500
Ca 0.500 0.500 0.500
Pu 0.500 0.000 0.000

Properties
DFT formation energy: 0.197 eV/atom
Total magnetic moment: 7.3 μB/cell
Mass density: 6.65 g/cm³
Final energy: -6.35 eV per atom


The following is a GGA-PBE calculation of a relaxed structure of Ca2LaPuSe4, from Alexandria.

a b c (Å): 4.218 7.307 7.364
angles (deg): 109.38 90.00 90.00
Element x y z (fractional)
Se 0.000 0.244 0.743
Se 0.500 0.754 0.747
Se 0.500 0.246 0.253
Se 0.000 0.756 0.257
La 0.500 0.500 0.000
Ca 0.000 0.500 0.500
Ca 0.500 0.000 0.500
Pu 0.000 0.000 0.000

Properties
Total magnetic moment: 6.1 μB/cell
Mass density: 6.04 g/cm³
Final energy: -6.49 eV per atom
Uncorrected formation energy: -1.84 eV per atom


The following is a GGA-PBE calculation of a relaxed structure of CaLa2PuTe4, from Alexandria.

a b c (Å): 4.516 7.859 7.853
angles (deg): 109.39 90.00 90.00
Element x y z (fractional)
La 0.000 0.500 0.500
La 0.500 0.000 0.500
Ca 0.000 0.000 0.000
Te 0.000 0.747 0.240
Te 0.000 0.253 0.760
Te 0.500 0.246 0.240
Te 0.500 0.754 0.760
Pu 0.500 0.500 0.000

Properties
Total magnetic moment: 6.2 μB/cell
Mass density: 6.77 g/cm³
Final energy: -6.31 eV per atom
Uncorrected formation energy: -1.46 eV per atom


The following is a GGA-PBE calculation of a relaxed structure of Ca2LaPuTe4, from Alexandria.

a b c (Å): 4.502 7.870 7.804
angles (deg): 70.69 90.00 90.00
Element x y z (fractional)
Pu 0.500 0.500 0.000
Te 0.500 0.756 0.244
Te 0.000 0.247 0.247
Te 0.500 0.244 0.756
Te 0.000 0.753 0.753
Ca 0.000 0.000 0.000
Ca 0.500 0.000 0.500
La 0.000 0.500 0.500

Properties
Total magnetic moment: 6.1 μB/cell
Mass density: 6.19 g/cm³
Final energy: -5.93 eV per atom
Uncorrected formation energy: -1.46 eV per atom


The following is a GGA-PBE calculation of a relaxed structure of CaLaPu2Te4, from Alexandria.

a b c (Å): 5.491 5.504 18.241
angles (deg): 154.94 90.00 90.00
Element x y z (fractional)
Pu 0.000 0.500 0.500
Pu 0.500 0.000 0.500
La 0.000 0.000 0.000
Te 0.000 0.731 0.744
Te 0.500 0.232 0.744
Te 0.500 0.768 0.256
Te 0.000 0.269 0.256
Ca 0.500 0.500 0.000

Properties
Total magnetic moment: 0.3 μB/cell
Mass density: 8.37 g/cm³
Final energy: -7.13 eV per atom
Uncorrected formation energy: -1.11 eV per atom


The following is a GGA-PBE calculation of a relaxed structure of Rb2CaLa, from Alexandria.

a b c (Å): 5.266 5.266 15.500
angles (deg): 80.22 80.22 90.00
Element x y z (fractional)
La 0.000 0.000 0.000
La 0.750 0.250 0.500
Ca 0.500 0.500 0.000
Ca 0.250 0.750 0.500
Rb 0.128 0.625 0.250
Rb 0.375 0.378 0.750
Rb 0.622 0.125 0.250
Rb 0.875 0.872 0.750

Properties
DFT formation energy: 0.561 eV/atom
Total magnetic moment: 0.0 μB/cell
Mass density: 2.79 g/cm³
Final energy: -1.66 eV per atom


The following is a GGA-PBE calculation of a relaxed structure of RbCaLa2, from Alexandria.

a b c (Å): 6.306 6.306 6.306
angles (deg): 60.00 60.00 60.00
Element x y z (fractional)
La 0.750 0.750 0.750
La 0.250 0.250 0.250
Rb 0.500 0.500 0.500
Ca 0.000 0.000 0.000

Properties
DFT formation energy: 0.509 eV/atom
Total magnetic moment: 0.0 μB/cell
Mass density: 3.78 g/cm³
Final energy: -2.70 eV per atom


The following is a GGA-PBE calculation of a relaxed structure of RbCa3La, from Alexandria.

a b c (Å): 6.610 6.610 6.610
angles (deg): 90.00 90.00 90.00
Element x y z (fractional)
La 0.000 0.000 0.000
Rb 0.500 0.500 0.500
Ca 0.000 0.000 0.500
Ca 0.500 0.000 0.000
Ca 0.000 0.500 0.000

Properties
DFT formation energy: 0.640 eV/atom
Total magnetic moment: 2.1 μB/cell
Mass density: 1.98 g/cm³
Final energy: -1.74 eV per atom


The following is a GGA-PBE calculation of a relaxed structure of RbCa2La, from Alexandria.

a b c (Å): 3.929 3.929 12.506
angles (deg): 90.00 90.00 90.00
Element x y z (fractional)
Ca 0.000 0.000 0.789
Ca 0.000 0.000 0.211
Rb 0.500 0.500 0.500
La 0.500 0.500 0.000

Properties
DFT formation energy: 0.165 eV/atom
Total magnetic moment: 0.0 μB/cell
Mass density: 2.62 g/cm³
Final energy: -2.31 eV per atom


The following is a GGA-PBE calculation of a relaxed structure of RbCa2La2, from Alexandria.

a b c (Å): 10.991 10.991 3.906
angles (deg): 90.00 90.00 90.00
Element x y z (fractional)
La 0.600 0.100 0.000
La 0.100 0.400 0.000
La 0.400 0.900 0.000
La 0.900 0.600 0.000
Rb 0.500 0.500 0.000
Rb 0.000 0.000 0.000
Ca 0.818 0.318 0.500
Ca 0.682 0.818 0.500
Ca 0.318 0.182 0.500
Ca 0.182 0.682 0.500

Properties
DFT formation energy: 0.281 eV/atom
Total magnetic moment: 1.4 μB/cell
Mass density: 3.12 g/cm³
Final energy: -2.68 eV per atom


The following is a GGA-PBE calculation of a relaxed structure of RbCa2La, from Alexandria.

a b c (Å): 9.873 9.873 7.938
angles (deg): 51.54 51.54 90.00
Element x y z (fractional)
Ca 0.125 0.625 0.250
Ca 0.625 0.125 0.250
Ca 0.875 0.875 0.750
Ca 0.375 0.375 0.750
Rb 0.500 0.500 0.000
Rb 0.250 0.750 0.500
La 0.750 0.250 0.500
La 0.000 0.000 0.000

Properties
DFT formation energy: 0.555 eV/atom
Total magnetic moment: 0.0 μB/cell
Mass density: 2.75 g/cm³
Final energy: -1.92 eV per atom


The following is a GGA-PBE calculation of a relaxed structure of RbCaLa2, from Alexandria.

a b c (Å): 5.035 5.035 14.424
angles (deg): 79.95 79.95 90.00
Element x y z (fractional)
La 0.608 0.625 0.250
La 0.375 0.858 0.750
La 0.142 0.125 0.250
La 0.875 0.392 0.750
Rb 0.000 0.000 0.000
Rb 0.750 0.250 0.500
Ca 0.500 0.500 0.000
Ca 0.250 0.750 0.500

Properties
DFT formation energy: 0.576 eV/atom
Total magnetic moment: 0.0 μB/cell
Mass density: 3.78 g/cm³
Final energy: -2.63 eV per atom


The following is a GGA-PBE calculation of a relaxed structure of RbCaLa, from Alexandria.

a b c (Å): 6.417 3.837 21.257
angles (deg): 90.00 90.00 146.74
Element x y z (fractional)
La 0.707 0.414 0.356
La 0.707 0.414 0.644
Ca 0.677 0.354 0.000
Ca 0.208 0.416 0.500
Rb 0.184 0.367 0.178
Rb 0.184 0.367 0.822

Properties
DFT formation energy: 0.277 eV/atom
Total magnetic moment: 0.0 μB/cell
Mass density: 3.06 g/cm³
Final energy: -2.36 eV per atom